Entry 1:
Material: B2PdICl
Method: DFT, PBE
State: optimized geometry

Structure (extended XYZ):
```
5
Lattice="-2.562 -1.524 0.667 -0.211 -3.613 -2.051 4.478 -5.376 5.096" Properties=species:S:1:pos:R:3 pbc="T T T"
I -0.086 -3.896 1.429
B -1.146 -2.940 -0.452
B 4.103 -6.834 3.984
Pd -2.088 -4.813 -1.354
Cl 0.690 -7.524 3.290
```

Results
Magnetization ... 0.00 μB/cell
Raw total energy ... -22.2 eV per cell
Energy above the most stable polymorph in this dataset ... 0 meV per atom
Space-group type ... P1

Entry 2:
Material: B2PdICl
Method: DFT, PBE
State: optimized geometry

Structure (extended XYZ):
```
5
Lattice="-0.851 2.826 1.447 -2.102 0.842 -3.568 -6.166 -3.552 3.022" Properties=species:S:1:pos:R:3 pbc="T T T"
I -2.106 -0.752 1.129
B -2.026 0.844 -2.387
B -8.057 -1.102 1.250
Pd -1.383 2.606 0.447
Cl -6.303 -0.421 1.275
```

Results
Magnetization ... 0.00 μB/cell
Raw total energy ... -21.7 eV per cell
Energy above the most stable polymorph in this dataset ... 94 meV per atom
Space-group type ... P1

Entry 3:
Material: B2PdICl
Method: DFT, PBE
State: optimized geometry

Structure (extended XYZ):
```
10
Lattice="-3.640 3.293 4.483 -2.586 -0.421 -1.791 0.097 -10.812 2.402" Properties=species:S:1:pos:R:3 pbc="T T T"
I -2.709 -3.552 4.747
I -4.051 1.644 2.651
B -0.472 0.334 0.604
B -1.717 -5.282 0.909
B -0.331 -5.792 1.840
B -1.673 -0.596 -0.257
Pd -0.704 -3.654 1.875
Pd -1.948 -9.271 2.180
Cl -1.072 -7.036 3.201
Cl -2.413 -1.840 1.105
```

Results
Magnetization ... 0.00 μB/cell
Raw total energy ... -42.2 eV per cell
Energy above the most stable polymorph in this dataset ... 215 meV per atom
Space-group type ... Cm

Entry 4:
Material: B2PdICl
Method: DFT, PBE
State: optimized geometry

Structure (extended XYZ):
```
5
Lattice="3.086 0.000 0.000 1.537 3.653 0.000 0.124 0.568 9.267" Properties=species:S:1:pos:R:3 pbc="T T T"
I 3.851 2.927 3.255
B 2.314 0.944 0.106
B 0.897 1.055 8.750
Pd 3.857 2.480 0.524
Cl 0.895 0.910 6.964
```

Results
Magnetization ... 0.00 μB/cell
Raw total energy ... -22.0 eV per cell
Energy above the most stable polymorph in this dataset ... 39 meV per atom
Space-group type ... P1

Which E_form (uncorrected) belongs to each record? In order, -0.050; 0.044; 0.165; -0.012 eV/atom.